Crystalline NaSr3Pd at its relaxed geometry. Source: Alexandria via LeMat-Bulk, functional PBE-GGA.

Values from the calculation:
As for the density of states at the Fermi level: 4.7 states/eV per cell. As for the total magnetization: 0.000 Bohr magnetons per cell. Its space group is R3m, No. 160. As for the excess energy over the best structure of this formula in the dataset: 609 meV/atom. The calculation puts the formation energy at 0.32 eV/atom.

Lattice parameters (Å, degrees): 6.7696 6.7696 6.7696 89.24 89.24 89.24
With the nearest neighbours (Å) after each atom.
Element x y z (fractional)
1 Na 0.0000 0.0000 0.0000  1 Pd 3.05, 3 Sr 3.30
2 Sr 0.0032 0.0032 0.5130  1 Pd 2.93
3 Sr 0.0032 0.5130 0.0032  1 Pd 2.93
4 Sr 0.5130 0.0032 0.0032  1 Pd 2.93
5 Pd 0.7435 0.7435 0.7435  3 Sr 2.93, 1 Na 3.05

***

Crystalline AcBi2Au2 at its relaxed geometry. Source: Alexandria via LeMat-Bulk, functional PBE-GGA.

Values from the calculation:
As for the density of states at the Fermi level: 5.7 states/eV per cell. As for the total magnetization: 0.000 Bohr magnetons per cell. Its space group is Imma, No. 74. As for the excess energy over the best structure of this formula in the dataset: 4 meV/atom. The calculation puts the formation energy at -0.48 eV/atom.

Lattice parameters (Å, degrees): 14.8291 14.8291 14.8291 163.78 161.24 24.90
With the nearest neighbours (Å) after each atom.
Element x y z (fractional)
1 Ac 0.3204 0.0704 0.2500  10 Au 3.43-3.49, 2 Bi 3.83
2 Ac 0.6796 0.9296 0.7500  10 Au 3.43-3.49, 2 Bi 3.83
3 Bi 0.0495 0.7995 0.2500  2 Au 3.16, 4 Bi 3.25
4 Bi 0.4312 0.6812 0.7500  2 Au 3.02, 4 Bi 3.25
5 Bi 0.5688 0.3188 0.2500  2 Au 3.02, 4 Bi 3.25
6 Bi 0.9505 0.2005 0.7500  2 Au 3.16, 4 Bi 3.25
7 Au 0.1314 0.3814 0.7500  1 Au 2.76, 2 Bi 3.02
8 Au 0.2266 0.4766 0.7500  3 Au 2.76-2.77
9 Au 0.7734 0.5234 0.2500  3 Au 2.76-2.77
10 Au 0.8686 0.6186 0.2500  1 Au 2.76, 2 Bi 3.02

***

Crystalline Sm3Cu4Rh2 at its relaxed geometry. Source: Alexandria via LeMat-Bulk, functional PBE-GGA.

Values from the calculation:
As for the density of states at the Fermi level: 4.3 states/eV per cell. As for the total magnetization: 0.000 Bohr magnetons per cell. Its space group is C2/m, No. 12. The calculation puts the formation energy at -0.39 eV/atom.

Lattice parameters (Å, degrees): 5.7182 5.7182 8.3489 108.25 108.25 43.53
With the nearest neighbours (Å) after each atom.
Element x y z (fractional)
1 Sm 0.0000 0.0000 0.0000  4 Rh 3.02, 8 Cu 3.06-3.11
2 Sm 0.3220 0.3220 0.3481  4 Rh 3.02-3.31, 8 Cu 3.07-3.21
3 Sm 0.6780 0.6780 0.6519  4 Rh 3.02-3.31, 8 Cu 3.07-3.21
4 Cu 0.0379 0.0379 0.3795  1 Cu 2.41, 2 Rh 2.52
5 Cu 0.2747 0.2747 0.9470  2 Cu 2.42, 1 Rh 2.52
6 Cu 0.7253 0.7253 0.0530  2 Cu 2.42, 1 Rh 2.52
7 Cu 0.9621 0.9621 0.6205  1 Cu 2.41, 2 Rh 2.52
8 Rh 0.3933 0.3933 0.7313  3 Cu 2.52
9 Rh 0.6067 0.6067 0.2687  3 Cu 2.52

***

Crystalline NiTeAs2 at its relaxed geometry. Source: Alexandria via LeMat-Bulk, functional PBE-GGA.

Values from the calculation:
As for the density of states at the Fermi level: 2.2 states/eV per cell. As for the total magnetization: 0.000 Bohr magnetons per cell. Its space group is Pm, No. 6. Its uncorrected formation energy is 0.041 eV per atom.

Lattice parameters (Å, degrees): 4.2927 3.8735 5.4300 90.00 90.23 90.00
With the nearest neighbours (Å) after each atom.
Element x y z (fractional)
1 Ni 0.0000 0.0000 0.0000  3 As 2.35-2.43, 2 Te 2.56
2 Te 0.1276 0.5000 0.2908  2 Ni 2.56, 1 As 2.79
3 As 0.4532 0.0000 0.7590  1 Ni 2.35, 2 As 2.58
4 As 0.8507 0.5000 0.7552  2 Ni 2.43, 2 As 2.58

***

Crystalline ZrTa2Tc at its relaxed geometry. Source: Alexandria via LeMat-Bulk, functional PBE-GGA.

Values from the calculation:
As for the density of states at the Fermi level: 3.6 states/eV per cell. As for the total magnetization: 0.000 Bohr magnetons per cell. Its space group is P4/mmm, No. 123. As for the excess energy over the best structure of this formula in the dataset: 34 meV/atom. The calculation puts the formation energy at -0.18 eV/atom.

Lattice parameters (Å, degrees): 3.2048 3.2048 7.1195 90.00 90.00 90.00
With the nearest neighbours (Å) after each atom.
Element x y z (fractional)
1 Zr 0.0000 0.0000 0.0000  8 Ta 3.02, 4 Zr 3.20
2 Ta 0.5000 0.5000 0.2809  4 Tc 2.75, 4 Zr 3.02
3 Ta 0.5000 0.5000 0.7191  4 Tc 2.75, 4 Zr 3.02
4 Tc 0.0000 0.0000 0.5000  8 Ta 2.75

***

Crystalline CsLiYF6 at its relaxed geometry. Source: Alexandria via LeMat-Bulk, functional PBE-GGA.

Values from the calculation:
As for the density of states at the Fermi level: 5.0 states/eV per cell. As for the total magnetization: 2.034 Bohr magnetons per cell. Its space group is Imma, No. 74. Its uncorrected formation energy is -3.053 eV per atom.

Lattice parameters (Å, degrees): 7.3216 7.3216 7.3216 116.56 115.56 96.97
With the nearest neighbours (Å) after each atom.
Element x y z (fractional)
1 Cs 0.4191 0.1691 0.2500  9 F 2.93-3.19
2 Cs 0.5809 0.8309 0.7500  9 F 2.93-3.19
3 Li 0.0000 0.5000 0.5000  6 F 2.06-2.15
4 Li 0.5000 0.5000 0.0000  6 F 2.06-2.15
5 Y 0.0000 0.0000 0.5000  8 F 2.24-2.45
6 Y 0.0000 0.5000 0.0000  8 F 2.24-2.45
7 F 0.1176 0.8676 0.2500  2 Y 2.24
8 F 0.1320 0.4205 0.2911  1 Li 2.06, 1 Y 2.30
9 F 0.1320 0.8409 0.7115  1 Li 2.06, 1 Y 2.30
10 F 0.1561 0.4061 0.7500  2 Li 2.15
11 F 0.3706 0.1591 0.7911  1 Li 2.06, 1 Y 2.30
12 F 0.3706 0.5795 0.2115  1 Li 2.06, 1 Y 2.30
13 F 0.6294 0.4205 0.7885  1 Li 2.06, 1 Y 2.30
14 F 0.6294 0.8409 0.2089  1 Li 2.06, 1 Y 2.30
15 F 0.8439 0.5939 0.2500  2 Li 2.15
16 F 0.8680 0.1591 0.2885  1 Li 2.06, 1 Y 2.30
17 F 0.8680 0.5795 0.7089  1 Li 2.06, 1 Y 2.30
18 F 0.8824 0.1324 0.7500  2 Y 2.24